CsCa2PuCl8: optimized geometry, PBE-GGA.

Results
For the magnetization, the calculation gives 5.0 μB per formula unit. The value obtained for the energy is -4.95 eV per atom. For the density of states at the Fermi level, the calculation gives 8.26 states/eV/f.u. Its formation energy (no corrections) is -2.1161 eV per atom. The volume comes out at 33.1 Å³/atom.

```
data_CsCa2PuCl8
_chemical_formula_sum 'Cs1 Ca2 Pu1 Cl8'
_cell_length_a 6.6369
_cell_length_b 6.7047
_cell_length_c 8.9177
_cell_angle_alpha 89.95
_cell_angle_beta 89.92
_cell_angle_gamma 89.09
_space_group_name_H-M_alt 'P -1'
_space_group_IT_number 2
_space_group_name_Hall '-P 1'
loop_
_atom_site_label
_atom_site_fract_x
_atom_site_fract_y
_atom_site_fract_z
Cs1 0.0000 0.0000 0.0000
Ca1 0.4999 0.5000 0.2471
Pu1 0.0000 0.0000 0.5000
Cl1 0.2518 0.8278 0.7032
Cl2 0.2527 0.8287 0.2966
Cl3 0.2679 0.3244 0.5001
Cl4 0.2768 0.3999 0.0003
```